Record 1
Density functional theory data (PBE-GGA) for a relaxed structure of Pm2TiCd.

Summary:
Excess energy over the best structure of this formula in the dataset: 0.355 eV per atom
DFT formation energy: 0.370 eV per atom

Unit cell a=3.2692 b=3.2692 c=34.9209 alpha=90.00 beta=90.00 gamma=120.00
Closest atoms and distances in Å follow each position.
Space group R-3m (No. 166, hexagonal axes)
One atom of each set of equivalent atoms:
Pm (0.0000, 0.0000, 0.0846) x6  1 Ti 2.95, 6 Pm 3.27
Ti (0.0000, 0.0000, 0.0000) x3  2 Pm 2.95, 6 Ti 3.27
Cd (0.0000, 0.0000, 0.5000) x3  6 Cd 3.27, 6 Pm 3.43

Record 2
Density functional theory data (PBE-GGA) for a relaxed structure of Lu2ThTi.

Summary:
Excess energy over the best structure of this formula in the dataset: 0.000 eV per atom
DFT formation energy: 0.149 eV per atom

Unit cell a=4.6510 b=4.6510 c=4.9055 alpha=90.00 beta=90.00 gamma=90.00
Closest atoms and distances in Å follow each position.
Space group P4/mmm (No. 123)
One atom of each set of equivalent atoms:
Lu (0.0000, 0.5000, 0.0000) x2  4 Lu 3.29, 4 Ti 3.38, 4 Th 3.38
Th (0.0000, 0.0000, 0.5000) x1  4 Ti 3.29, 8 Lu 3.38
Ti (0.5000, 0.5000, 0.5000) x1  4 Th 3.29, 8 Lu 3.38

Record 3
Density functional theory data (PBE-GGA) for a relaxed structure of La2Mn3Cu9As7.

Summary:
DFT formation energy: -0.338 eV per atom

Unit cell a=9.9221 b=9.9221 c=4.0526 alpha=90.00 beta=90.00 gamma=120.00
Closest atoms and distances in Å follow each position.
Space group P-6 (No. 174)
One atom of each set of equivalent atoms:
La (0.0000, 0.0000, 0.0000) x1  6 As 3.10, 9 Cu 3.31-3.46
La (0.3333, 0.6667, 0.5000) x1  6 As 3.12, 12 Cu 3.31-3.49
Mn (0.4493, 0.2120, 0.0000) x3  5 As 2.59-2.84, 1 Cu 2.76
Cu (0.0341, 0.2797, 0.5000) x3  4 As 2.47-2.52, 1 Cu 2.62
Cu (0.0834, 0.7008, 0.0000) x3  4 As 2.49-2.53, 2 Cu 2.74, 1 Mn 2.76
Cu (0.5102, 0.4586, 0.5000) x3  4 As 2.43-2.57, 1 Cu 2.62
As (0.0806, 0.4447, 0.0000) x3  6 Cu 2.50-2.57, 1 Mn 2.59
As (0.2518, 0.2183, 0.5000) x3  5 Cu 2.47-2.52
As (0.6667, 0.3333, 0.5000) x1  3 Cu 2.43

Record 4
Density functional theory data (PBE-GGA) for a relaxed structure of NaSiB3.

Summary:
Excess energy over the best structure of this formula in the dataset: 0.000 eV per atom
E_form (uncorrected): 31.5 kcal/mol of atoms

Unit cell a=4.0708 b=4.0708 c=4.0708 alpha=90.00 beta=90.00 gamma=90.00
Closest atoms and distances in Å follow each position.
Space group Pm-3m (No. 221)
One atom of each set of equivalent atoms:
Na (0.0000, 0.0000, 0.0000) x1  12 B 2.88
Si (0.5000, 0.5000, 0.5000) x1  6 B 2.04
B (0.0000, 0.5000, 0.5000) x3  2 Si 2.04